BeRh2Se | PBE | optimized geometry

Lattice parameters (Å, degrees): 3.1898 4.3719 3.9936 90.00 90.03 90.00
With the nearest neighbours (Å) after each atom.
Fractional coordinates of all 4 atoms:
Be (0.0000, 0.0000, 0.0000)  6 Rh 2.38-2.64
Rh (0.0062, 0.5000, 0.2363)  2 Be 2.38, 4 Se 2.47-2.64
Rh (0.5061, 0.0000, 0.4763)  2 Se 2.47, 4 Be 2.47-2.64
Se (0.5062, 0.5000, 0.7638)  6 Rh 2.47-2.64

## Properties
E_form (uncorrected) ... -137 meV/atom
D(E_F) ... 2.331 states/eV/cell
E_tot ... -5.61 eV/atom
Total magnetization ... 0.00 μB per formula unit
Crystal system ... monoclinic
V ... 56 Å³ per cell

---

HoTmAs | PBE | optimized geometry

Lattice parameters (Å, degrees): 7.5425 7.5425 7.0588 106.16 106.16 28.39
With the nearest neighbours (Å) after each atom.
Fractional coordinates of all 6 atoms:
Ho (0.0000, 0.0000, 0.0000)  3 As 2.85-2.91
Ho (0.6434, 0.6434, 0.4258)  2 As 2.77-2.84
Tm (0.7289, 0.7289, 0.0049)  2 As 2.71-2.78
Tm (0.9330, 0.9330, 0.4660)  3 As 2.78-2.82
As (0.5503, 0.5503, 0.7276)  3 Tm 2.78-2.82, 3 Ho 2.84-2.91
As (0.8170, 0.8170, 0.7158)  2 Tm 2.71-2.78, 2 Ho 2.77-2.85

## Properties
D(E_F) ... 6.229 states/eV/cell
E_tot ... -5.01 eV/atom
Total magnetization ... 0.00 μB per formula unit
Crystal system ... monoclinic
V ... 183 Å³ per cell
Energy of formation ... -0.446 eV/atom

---

LaMg2Cr3S8 | PBE | optimized geometry

Lattice parameters (Å, degrees): 7.5590 7.5590 7.5590 58.39 58.39 58.39
With the nearest neighbours (Å) after each atom.
Fractional coordinates of all 14 atoms:
La (0.0000, 0.0000, 0.0000)  6 S 2.79
Mg (0.3771, 0.3771, 0.3771)  4 S 2.45-2.62
Mg (0.6229, 0.6229, 0.6229)  4 S 2.45-2.62
Cr (0.0000, 0.0000, 0.5000)  6 S 2.43-2.51
Cr (0.0000, 0.5000, 0.0000)  6 S 2.43-2.51
Cr (0.5000, 0.0000, 0.0000)  6 S 2.43-2.51
S (0.2213, 0.7381, 0.7381)  2 Cr 2.43, 1 Mg 2.45
S (0.2373, 0.2373, 0.2373)  3 Cr 2.51, 1 Mg 2.62
S (0.2619, 0.2619, 0.7787)  2 Cr 2.43, 1 Mg 2.45
S (0.2619, 0.7787, 0.2619)  2 Cr 2.43, 1 Mg 2.45
S (0.7381, 0.2213, 0.7381)  2 Cr 2.43, 1 Mg 2.45
S (0.7381, 0.7381, 0.2213)  2 Cr 2.43, 1 Mg 2.45
S (0.7627, 0.7627, 0.7627)  3 Cr 2.51, 1 Mg 2.62
S (0.7787, 0.2619, 0.2619)  2 Cr 2.43, 1 Mg 2.45

## Properties
E_form (uncorrected) ... -1077 meV/atom
D(E_F) ... 0.126 states/eV/cell
E_tot ... -6.08 eV/atom
Total magnetization ... 9.00 μB per formula unit
Crystal system ... trigonal
V ... 294 Å³ per cell

---

SrBrCl | PBE | optimized geometry

Lattice parameters (Å, degrees): 5.1359 5.1359 5.1359 60.00 60.00 60.00
With the nearest neighbours (Å) after each atom.
Fractional coordinates of all 3 atoms:
Sr (0.0000, 0.0000, 0.0000)  4 Cl 3.15, 4 Br 3.15
Br (0.2500, 0.2500, 0.2500)  4 Sr 3.15
Cl (0.7500, 0.7500, 0.7500)  4 Sr 3.15

## Properties
E_form (uncorrected) ... -2286 meV/atom
D(E_F) ... 0.000 states/eV/cell
E_tot ... -4.02 eV/atom
Total magnetization ... 0.00 μB per formula unit
Crystal system ... cubic
V ... 96 Å³ per cell

---

AlNi2Sn | PBE | optimized geometry

Lattice parameters (Å, degrees): 3.0197 3.0197 6.2180 90.00 90.00 90.00
With the nearest neighbours (Å) after each atom.
Fractional coordinates of all 4 atoms:
Al (0.0000, 0.0000, 0.0000)  8 Ni 2.52
Ni (0.5000, 0.5000, 0.2148)  4 Al 2.52, 1 Ni 2.67, 4 Sn 2.78
Ni (0.5000, 0.5000, 0.7852)  4 Al 2.52, 1 Ni 2.67, 4 Sn 2.78
Sn (0.0000, 0.0000, 0.5000)  8 Ni 2.78, 4 Sn 3.02

## Properties
D(E_F) ... 1.499 states/eV/cell
E_tot ... -5.13 eV/atom
Total magnetization ... 0.00 μB per formula unit
Crystal system ... tetragonal
V ... 57 Å³ per cell
Energy of formation ... -0.305 eV/atom

---

NaSnGeW2 | PBE | optimized geometry

Lattice parameters (Å, degrees): 4.7370 4.7370 5.3959 90.00 90.00 90.00
With the nearest neighbours (Å) after each atom.
Fractional coordinates of all 5 atoms:
Na (0.0000, 0.0000, 0.0000)  4 Sn 3.35, 8 W 3.59
Sn (0.5000, 0.5000, 0.0000)  2 Ge 2.70
Ge (0.5000, 0.5000, 0.5000)  4 W 2.37
W (0.0000, 0.5000, 0.5000)  2 Ge 2.37
W (0.5000, 0.0000, 0.5000)  2 Ge 2.37

## Properties
D(E_F) ... 4.460 states/eV/cell
E_tot ... -5.63 eV/atom
Total magnetization ... 0.99 μB per formula unit
Crystal system ... tetragonal
V ... 121 Å³ per cell
Energy of formation ... 1.541 eV/atom